[1]
This record from Alexandria via LeMat-Bulk describes a geometry-optimized Co2PSe structure. The functional is GGA-PBE.

The uncorrected formation energy is -0.62 eV/f.u. The total energy is -0.218 Ha/atom.

It has space group Imm2 (No. 44), with a = 2.8763 Å, b = 3.2029 Å, c = 11.7262 Å, α = 90.00°, β = 90.00° and γ = 90.00°. The inequivalent atoms are Co at (0.0000, 0.0000, 0.0000), Co at (0.0000, 0.5000, 0.3097), P at (0.0000, 0.0000, 0.4411) and Se at (0.0000, 0.5000, 0.6963).

---

[2]
This record from Alexandria via LeMat-Bulk describes a geometry-optimized CoPSe structure. The functional is GGA-PBE.

The uncorrected formation energy is 1.74 eV/f.u. The total energy is -0.175 Ha/atom.

It has space group F-43m (No. 216), with a = 5.7484 Å, b = 5.7484 Å, c = 5.7484 Å, α = 90.00°, β = 90.00° and γ = 90.00°. The inequivalent atoms are Co at (0.0000, 0.0000, 0.0000), P at (0.2500, 0.2500, 0.7500) and Se at (0.0000, 0.0000, 0.5000).

---

[3]
This record from Alexandria via LeMat-Bulk describes a geometry-optimized Co3PSe structure. The functional is GGA-PBE.

The uncorrected formation energy is 1.79 eV/f.u. The total energy is -0.209 Ha/atom.

It has space group Pm-3m (No. 221), with a = 4.1734 Å, b = 4.1734 Å, c = 4.1734 Å, α = 90.00°, β = 90.00° and γ = 90.00°. The inequivalent atoms are Co at (0.0000, 0.0000, 0.5000), P at (0.0000, 0.0000, 0.0000) and Se at (0.5000, 0.5000, 0.5000).

---

[4]
This record from Alexandria via LeMat-Bulk describes a geometry-optimized CoPSe structure. The functional is GGA-PBE.

The uncorrected formation energy is -1.28 eV/f.u. The total energy is -0.212 Ha/atom.

It has space group P2_13 (No. 198), with a = 5.5991 Å, b = 5.5991 Å, c = 5.5991 Å, α = 90.00°, β = 90.00° and γ = 90.00°. The inequivalent atoms are Co at (0.0121, 0.0121, 0.0121), P at (0.1190, 0.8810, 0.3810) and Se at (0.1214, 0.6214, 0.8786).